Computed, not measured: crystalline Li2ScCoH6 at its relaxed geometry at the GGA-PBE level of DFT.

```
10
Lattice="0.0000 3.5231 3.5231 3.5231 0.0000 3.5231 3.5231 3.5231 0.0000" Properties=species:S:1:pos:R:3 pbc="T T T"
Li 1.7616 1.7616 1.7616
Li 5.2847 5.2847 5.2847
Sc 0.0000 0.0000 0.0000
Co 3.5231 3.5231 3.5231
H 3.5231 3.5231 1.9278
H 3.5231 1.9278 3.5231
H 5.1185 3.5231 3.5231
H 1.9278 3.5231 3.5231
H 3.5231 5.1185 3.5231
H 3.5231 3.5231 5.1185
```

Results
Final energy = -3.86 eV per atom
Space group = No. 225

---

Computed, not measured: crystalline Sr2LiCoH6 at its relaxed geometry at the GGA-PBE level of DFT.

```
20
Lattice="5.5901 0.0000 0.0000 -1.9067 5.8162 0.0000 -2.4741 -1.0384 7.5002" Properties=species:S:1:pos:R:3 pbc="T T T"
Sr -1.0221 1.1554 2.8385
Sr -0.1344 4.6023 1.0664
Sr 1.3437 0.1755 6.4338
Sr 2.2315 3.6224 4.6617
Li -1.3606 1.2382 5.9029
Li 2.5700 3.5396 1.5973
Co 1.2121 1.6707 0.8759
Co -0.0027 3.1071 6.6243
H -1.6586 3.5255 2.7711
H -0.2547 2.1447 0.6339
H -1.2967 -0.2368 7.0540
H -0.3681 -0.0448 4.7672
H -1.4883 3.5542 6.3354
H 0.0361 2.3637 5.2294
H 1.1732 2.4141 2.2708
H 2.6977 1.2236 1.1648
H 1.5775 4.8226 2.7330
H 2.5060 5.0146 0.4462
H 1.4641 2.6330 6.8663
H 2.8680 1.2523 4.7291
```

Results
Final energy = -3.62 eV per atom
Space group = No. 2

---

Computed, not measured: crystalline Li2CoTcH6 at its relaxed geometry at the GGA-PBE level of DFT.

```
10
Lattice="0.0000 3.3314 3.3314 3.3314 0.0000 3.3314 3.3314 3.3314 0.0000" Properties=species:S:1:pos:R:3 pbc="T T T"
Li 1.6657 1.6657 1.6657
Li 4.9971 4.9971 4.9971
Co 0.0000 0.0000 0.0000
Tc 3.3314 3.3314 3.3314
H 3.3314 3.3314 1.5787
H 3.3314 1.5787 3.3314
H 5.0842 3.3314 3.3314
H 1.5787 3.3314 3.3314
H 3.3314 5.0842 3.3314
H 3.3314 3.3314 5.0842
```

Results
Final energy = -4.16 eV per atom
Space group = No. 225

---

Computed, not measured: crystalline Sr2MgCoH6 at its relaxed geometry at the GGA-PBE level of DFT.

```
10
Lattice="0.0000 3.8056 3.8056 3.8056 0.0000 3.8056 3.8056 3.8056 0.0000" Properties=species:S:1:pos:R:3 pbc="T T T"
Sr 1.9028 1.9028 1.9028
Sr 5.7084 5.7084 5.7084
Mg 0.0000 0.0000 0.0000
Co 3.8056 3.8056 3.8056
H 3.8056 3.8056 2.0869
H 3.8056 2.0869 3.8056
H 5.5243 3.8056 3.8056
H 2.0869 3.8056 3.8056
H 3.8056 5.5243 3.8056
H 3.8056 3.8056 5.5243
```

Results
Final energy = -3.54 eV per atom
Space group = No. 225

---

- Which value of final energy does entry 3 give?
  -4.16 eV per atom